GGA+U Yb2Fe3O7, relaxed; crystal system = hexagonal; raw total energy = -158.3 eV per cell; calculated volume = 155.6 Å³/f.u.; calculated density = 6.67 Mg/m³
1.0
-1.5572 -2.0593 -2.3921
1.9302 -1.4360 2.5690
-23.5982 -1.6681 16.7985
Fe O Yb
6 14 4
direct
0.6667 0.3333 0.0427 Fe
0.0000 0.0000 0.2500 Fe
0.6667 0.3333 0.4573 Fe
0.3333 0.6667 0.5427 Fe
0.3333 0.6667 0.9573 Fe
0.0000 0.0000 0.7500 Fe
0.6667 0.3333 0.1063 O
0.0000 0.0000 0.8177 O
0.6667 0.3333 0.5312 O
0.6667 0.3333 0.9688 O
0.6667 0.3333 0.3937 O
0.0000 0.0000 0.1823 O
0.3333 0.6667 0.8937 O
0.3333 0.6667 0.4688 O
0.0000 0.0000 0.3177 O
0.3333 0.6667 0.6063 O
0.3333 0.6667 0.0312 O
0.3333 0.6667 0.2500 O
0.6667 0.3333 0.7500 O
0.0000 0.0000 0.6823 O
0.3333 0.6667 0.3506 Yb
0.3333 0.6667 0.1494 Yb
0.6667 0.3333 0.6494 Yb
0.6667 0.3333 0.8506 Yb